# Ga2SnAu8

Ga2SnAu8 after structural relaxation (GGA-PBE, the Alexandria database).

Cell lengths 3.6343, 6.7018, 8.9507 Å; angles 95.84, 101.71, 90.00 degrees
With the nearest neighbours (Å) after each atom.
Sites, in units of the cell vectors:
Au1 0.8041 0.7442 0.6082  3 Ga 2.65, 5 Au 2.83-2.94
Au2 0.1959 0.2558 0.3918  3 Ga 2.65, 5 Au 2.83-2.94
Au3 0.0462 0.6944 0.0924  1 Ga 2.68, 2 Sn 2.91, 5 Au 2.92-2.96
Au4 0.6590 0.9283 0.3180  2 Ga 2.72, 5 Au 2.87-3.00, 1 Sn 2.88
Ga1 0.1962 0.6514 0.3925  6 Au 2.65-2.72
Sn1 0.5000 0.0000 0.0000  8 Au 2.84-2.91
Au5 0.5869 0.3819 0.1737  6 Au 2.83-2.96, 1 Sn 2.84, 2 Ga 3.09
Au6 0.4131 0.6181 0.8263  6 Au 2.83-2.96, 1 Sn 2.84, 2 Ga 3.09
Ga2 0.8038 0.3486 0.6075  6 Au 2.65-2.72
Au7 0.3410 0.0717 0.6820  2 Ga 2.72, 5 Au 2.87-3.00, 1 Sn 2.88
Au8 0.9538 0.3056 0.9076  1 Ga 2.68, 2 Sn 2.91, 5 Au 2.92-2.96

Summary:
The calculation puts the formation energy at -0.9 eV/f.u.